Entry 1:
SnBrCl2: relaxed, GGA-PBE.

Summary:
Size of the total moment, μB per formula unit: 1.00
E_tot, eV per atom: -2.789
Formation energy (no corrections), eV per atom: -0.447

a b c (Å): 11.4465 11.4465 11.4465
angles (deg): 20.74 20.74 20.74
Last column: magnetic moment on the atom in μB.
Fractional coordinates of all 4 atoms:
Cl 0.1198 0.1198 0.1198  0.02
Cl 0.8802 0.8802 0.8802  0.02
Sn 0.5000 0.5000 0.5000  0.02
Br 0.0000 0.0000 0.0000  0.68

***

Entry 2:
Sn2Br2Cl: relaxed, GGA-PBE.

Summary:
Size of the total moment, μB per formula unit: 0.00
E_tot, eV per atom: -3.202
Formation energy (no corrections), eV per atom: -0.562

a b c (Å): 7.7812 7.7812 4.7902
angles (deg): 90.00 90.00 90.00
Fractional coordinates of all 10 atoms:
Sn 0.1630 0.3370 0.0000
Sn 0.8370 0.6630 0.0000
Sn 0.6630 0.1630 0.0000
Sn 0.3370 0.8370 0.0000
Br 0.8252 0.3252 0.5000
Br 0.3252 0.1748 0.5000
Br 0.1748 0.6748 0.5000
Br 0.6748 0.8252 0.5000
Cl 0.0000 0.0000 0.0000
Cl 0.5000 0.5000 0.0000

***

Entry 3:
SnBrCl2: relaxed, GGA-PBE.

Summary:
Size of the total moment, μB per formula unit: 0.00
E_tot, eV per atom: -3.160
Formation energy (no corrections), eV per atom: -0.817

a b c (Å): 7.1826 6.6078 13.3539
angles (deg): 90.00 90.02 85.59
Fractional coordinates of all 16 atoms:
Sn 0.4996 0.7500 0.0811
Sn 0.5004 0.2500 0.9189
Sn 0.0002 0.2500 0.5848
Sn 0.9998 0.7500 0.4152
Cl 0.2859 0.6166 0.9475
Cl 0.8116 0.9328 0.5613
Cl 0.1887 0.5671 0.5611
Cl 0.2856 0.1167 0.0519
Cl 0.7141 0.3834 0.0525
Cl 0.8113 0.4329 0.4389
Cl 0.7144 0.8833 0.9481
Cl 0.1884 0.0672 0.4387
Br 0.7586 0.3986 0.7072
Br 0.2423 0.1010 0.7070
Br 0.2414 0.6014 0.2928
Br 0.7577 0.8990 0.2930

***

Entry 4:
Sn3BrCl: relaxed, GGA-PBE.

Summary:
Size of the total moment, μB per formula unit: 0.00
E_tot, eV per atom: -2.616
Formation energy (no corrections), eV per atom: 0.490

a b c (Å): 5.7024 5.7024 5.7024
angles (deg): 90.00 90.00 90.00
Fractional coordinates of all 5 atoms:
Br 0.0000 0.0000 0.0000
Sn 0.0000 0.5000 0.0000
Sn 0.0000 0.0000 0.5000
Sn 0.5000 0.0000 0.0000
Cl 0.5000 0.5000 0.5000

***

Entry 5:
Sn2Br2Cl: relaxed, GGA-PBE.

Summary:
Size of the total moment, μB per formula unit: 0.00
E_tot, eV per atom: -3.171
Formation energy (no corrections), eV per atom: -0.531

a b c (Å): 6.4393 7.7411 9.4997
angles (deg): 60.66 70.19 65.42
Fractional coordinates of all 10 atoms:
Br 0.3334 0.7605 0.5727
Br 0.0069 0.7233 0.2628
Br 0.6666 0.2395 0.4273
Br 0.9931 0.2767 0.7372
Sn 0.5100 0.7476 0.2324
Sn 0.4900 0.2524 0.7676
Sn 0.8302 0.7546 0.5851
Sn 0.1698 0.2454 0.4149
Cl 0.6395 0.8281 0.8929
Cl 0.3605 0.1719 0.1071

***

Entry 6:
SnBrCl6: relaxed, GGA-PBE.

Summary:
Size of the total moment, μB per formula unit: 0.80
E_tot, eV per atom: -2.568
Formation energy (no corrections), eV per atom: -0.473

a b c (Å): 6.2117 7.5904 8.6609
angles (deg): 50.40 62.15 69.53
Last column: magnetic moment on the atom in μB.
Fractional coordinates of all 8 atoms:
Cl 0.8084 0.6282 0.1610  0.04
Cl 0.1916 0.3718 0.8390  0.04
Cl 0.3851 0.8382 0.8714  0.05
Cl 0.9414 0.1725 0.6683  0.12
Cl 0.6149 0.1618 0.1286  0.05
Cl 0.0586 0.8275 0.3317  0.12
Br 0.5000 0.5000 0.5000  0.23
Sn 0.0000 0.0000 0.0000  0.00